Computed, not measured: an optimized crystal structure of LaOsPt2 at the GGA-PBE level of DFT.

Lattice parameters (Å, degrees): 4.7553 4.7553 4.7553 60.00 60.00 60.00
Each line ends with the local moment (μB).
Positions (direct):
1 Pt 0.0000 0.0000 0.0000  0.25
2 Pt 0.7500 0.7500 0.7500  0.04
3 Os 0.2500 0.2500 0.2500  1.04
4 La 0.5000 0.5000 0.5000  0.01

Summary:
Distance to the lowest polymorph of the same formula ... 0.5397 eV/atom
Formation energy from the elements ... 11.4 kJ per mole of atoms
V ... 76 Å³ per cell


Computed, not measured: an optimized crystal structure of Tb3Cd2BRu3 at the GGA-PBE level of DFT.

Lattice parameters (Å, degrees): 3.4500 7.6365 7.6365 120.00 90.00 90.00
Positions (direct):
1 Tb 0.0000 0.6588 0.6588
2 Tb 0.0000 0.3412 0.0000
3 Tb 0.0000 0.0000 0.3412
4 Ru 0.5000 0.0000 0.7856
5 Ru 0.5000 0.7856 0.0000
6 Ru 0.5000 0.2144 0.2144
7 Cd 0.5000 0.6667 0.3333
8 Cd 0.5000 0.3333 0.6667
9 B 0.0000 0.0000 0.0000

Summary:
Formation energy from the elements ... -22.1 kJ per mole of atoms
V ... 174 Å³ per cell


Computed, not measured: an optimized crystal structure of Np3Sb4 at the GGA-PBE level of DFT.

Lattice parameters (Å, degrees): 7.9088 7.9088 7.9088 109.47 109.47 109.47
Each line ends with the local moment (μB).
Positions (direct):
1 Sb 0.8400 0.5000 0.0000  -0.10
2 Sb 0.3400 0.5000 0.0000  -0.10
3 Sb 0.5000 0.8400 0.5000  -0.10
4 Sb 0.6600 0.1600 0.1600  -0.10
5 Sb 0.5000 0.3400 0.5000  -0.10
6 Sb 0.0000 0.0000 0.8400  -0.10
7 Sb 0.1600 0.6600 0.6600  -0.10
8 Sb 0.0000 0.0000 0.3400  -0.10
9 Np 0.1250 0.3750 0.2500  3.62
10 Np 0.3750 0.1250 0.7500  3.62
11 Np 0.2500 0.8750 0.1250  3.62
12 Np 0.8750 0.2500 0.6250  3.62
13 Np 0.7500 0.6250 0.3750  3.62
14 Np 0.6250 0.7500 0.8750  3.62

Summary:
Energy relative to the elements, uncorrected ... -0.20 eV/atom
V ... 381 Å³ per cell


Computed, not measured: an optimized crystal structure of Al4GaPd2 at the GGA-PBE level of DFT.

Lattice parameters (Å, degrees): 4.1062 4.1062 8.9316 76.71 76.71 60.00
Positions (direct):
1 Al 0.3939 0.3939 0.8184
2 Al 0.8029 0.8029 0.5913
3 Al 0.1971 0.1971 0.4087
4 Al 0.6061 0.6061 0.1816
5 Ga 0.0000 0.0000 0.0000
6 Pd 0.0976 0.0976 0.7071
7 Pd 0.9024 0.9024 0.2929

Summary:
Formation energy from the elements ... -44.3 kJ per mole of atoms
V ... 126 Å³ per cell


Computed, not measured: an optimized crystal structure of Ni5Rh at the GGA-PBE level of DFT.

Lattice parameters (Å, degrees): 2.5616 7.6137 3.5598 90.00 90.00 90.00
Each line ends with the local moment (μB).
Positions (direct):
1 Ni 0.5000 0.4942 0.5000  0.69
2 Ni 0.5000 0.1724 0.5000  0.69
3 Ni 0.0000 0.6566 0.0000  0.72
4 Ni 0.0000 0.3333 0.0000  0.69
5 Ni 0.0000 0.0101 0.0000  0.72
6 Rh 0.5000 0.8333 0.5000  0.77

Summary:
Formation energy from the elements ... 2.7 kJ per mole of atoms
V ... 69 Å³ per cell


Computed, not measured: an optimized crystal structure of Pr8GePt3Cl4 at the GGA-PBE level of DFT.

Lattice parameters (Å, degrees): 8.5303 8.7721 8.5293 119.10 120.00 90.00
Positions (direct):
1 Pr 0.7565 0.2790 0.0224
2 Pr 0.7566 0.2791 0.5132
3 Pr 0.7369 0.7106 0.4738
4 Pr 0.2434 0.7209 0.4868
5 Pr 0.2658 0.2790 0.0224
6 Pr 0.7342 0.7210 0.9776
7 Pr 0.2435 0.7210 0.9776
8 Pr 0.2631 0.2894 0.5262
9 Cl 0.5000 0.0000 0.0000
10 Cl 0.0000 0.0000 0.0000
11 Cl 0.5000 0.0000 0.5000
12 Cl 0.0000 0.0000 0.5000
13 Pt 0.0000 0.5000 0.5000
14 Pt 0.5000 0.5000 0.0000
15 Pt 0.5000 0.5000 0.5000
16 Ge 0.0000 0.5000 0.0000

Summary:
Energy relative to the elements, uncorrected ... -1.28 eV/atom
V ... 457 Å³ per cell


Computed, not measured: an optimized crystal structure of PmZrAl2 at the GGA-PBE level of DFT.

Lattice parameters (Å, degrees): 3.5112 3.5112 9.1243 78.91 78.91 60.00
Positions (direct):
1 Al 0.2561 0.2561 0.2318
2 Al 0.7439 0.7439 0.7682
3 Pm 0.5000 0.5000 0.5000
4 Zr 0.0000 0.0000 0.0000

Summary:
Distance to the lowest polymorph of the same formula ... 0.2537 eV/atom
Formation energy from the elements ... -8.4 kJ per mole of atoms
V ... 95 Å³ per cell


Computed, not measured: an optimized crystal structure of Ac4In2Pd at the GGA-PBE level of DFT.

Lattice parameters (Å, degrees): 4.1671 7.0538 9.7248 112.29 102.37 90.00
Positions (direct):
1 Ac 0.9124 0.2589 0.8248
2 Ac 0.0876 0.7411 0.1752
3 Ac 0.3738 0.7237 0.7475
4 Ac 0.6262 0.2763 0.2525
5 In 0.7415 0.8242 0.4831
6 In 0.2585 0.1758 0.5169
7 Pd 0.0000 0.0000 0.0000

Summary:
Distance to the lowest polymorph of the same formula ... 0.0802 eV/atom
Formation energy from the elements ... -34.8 kJ per mole of atoms
V ... 257 Å³ per cell


Computed, not measured: an optimized crystal structure of La12Sm5Dy3 at the GGA-PBE level of DFT.

Lattice parameters (Å, degrees): 16.1647 16.1647 16.1647 109.47 109.47 109.47
Positions (direct):
1 La 0.6687 0.4323 0.5666
2 La 0.7364 0.1343 0.0677
3 La 0.8657 0.6021 0.9334
4 La 0.2364 0.5677 0.6343
5 La 0.6687 0.2364 0.6021
6 La 0.7364 0.6021 0.1687
7 La 0.6021 0.8657 0.4334
8 La 0.6021 0.7364 0.6687
9 La 0.0677 0.4334 0.8313
10 La 0.3657 0.4334 0.1021
11 La 0.9334 0.8313 0.5677
12 La 0.6343 0.5666 0.8979
13 La 0.6343 0.0677 0.2364
14 La 0.4334 0.3657 0.6021
15 La 0.4323 0.6687 0.0666
16 La 0.1021 0.1687 0.2364
17 La 0.1687 0.0666 0.9323
18 La 0.5677 0.3313 0.9334
19 La 0.3313 0.7636 0.3979
20 La 0.1343 0.7364 0.5677
21 La 0.2636 0.3979 0.8313
22 La 0.1021 0.9334 0.3657
23 La 0.4323 0.7636 0.8657
24 La 0.8979 0.8313 0.7636
25 La 0.1343 0.3979 0.0666
26 La 0.0666 0.1687 0.4323
27 La 0.0666 0.8979 0.1343
28 La 0.5666 0.9323 0.6687
29 La 0.3313 0.5677 0.4334
30 La 0.3979 0.2636 0.3313
31 La 0.2636 0.8657 0.9323
32 La 0.9334 0.1021 0.8657
33 La 0.0677 0.6343 0.7364
34 La 0.7636 0.4323 0.3657
35 La 0.9323 0.5666 0.1687
36 La 0.2364 0.6687 0.1021
37 La 0.9323 0.3657 0.2636
38 La 0.5666 0.6343 0.3979
39 La 0.1687 0.1021 0.7364
40 La 0.7636 0.3313 0.8979
41 La 0.8979 0.0666 0.6343
42 La 0.4334 0.0677 0.3313
43 La 0.8657 0.2636 0.4323
44 La 0.8313 0.8979 0.2636
45 La 0.8313 0.9334 0.0677
46 La 0.5677 0.2364 0.1343
47 La 0.3657 0.9323 0.7636
48 La 0.3979 0.1343 0.5666
49 Dy 0.2500 0.1250 0.3750
50 Dy 0.3750 0.7500 0.6250
51 Dy 0.2500 0.6250 0.8750
52 Dy 0.8750 0.1250 0.2500
53 Dy 0.6250 0.3750 0.7500
54 Dy 0.1250 0.8750 0.7500
55 Dy 0.1250 0.2500 0.8750
56 Dy 0.6250 0.2500 0.3750
57 Dy 0.7500 0.3750 0.1250
58 Dy 0.7500 0.8750 0.6250
59 Dy 0.3750 0.6250 0.2500
60 Dy 0.8750 0.7500 0.1250
61 Sm 0.3750 0.2500 0.1250
62 Sm 0.8750 0.2500 0.6250
63 Sm 0.2500 0.8750 0.1250
64 Sm 0.5000 0.5000 0.0000
65 Sm 0.1250 0.7500 0.3750
66 Sm 0.0000 0.5000 0.0000
67 Sm 0.2500 0.3750 0.6250
68 Sm 0.3750 0.1250 0.7500
69 Sm 0.0000 0.0000 0.5000
70 Sm 0.0000 0.5000 0.5000
71 Sm 0.7500 0.1250 0.8750
72 Sm 0.6250 0.8750 0.2500
73 Sm 0.5000 0.0000 0.0000
74 Sm 0.6250 0.7500 0.8750
75 Sm 0.0000 0.0000 0.0000
76 Sm 0.5000 0.0000 0.5000
77 Sm 0.5000 0.5000 0.5000
78 Sm 0.8750 0.6250 0.7500
79 Sm 0.7500 0.6250 0.3750
80 Sm 0.1250 0.3750 0.2500

Summary:
Formation energy from the elements ... 86.8 kJ per mole of atoms
V ... 3251 Å³ per cell


Computed, not measured: an optimized crystal structure of AlVTcPt at the GGA-PBE level of DFT.

Lattice parameters (Å, degrees): 4.3163 4.3163 4.3163 60.00 60.00 60.00
Each line ends with the local moment (μB).
Positions (direct):
1 V 0.5000 0.5000 0.5000  0.91
2 Al 0.0000 0.0000 0.0000  0.00
3 Pt 0.2500 0.2500 0.2500  0.13
4 Tc 0.7500 0.7500 0.7500  -0.18

Summary:
Formation energy from the elements ... -54.7 kJ per mole of atoms
V ... 57 Å³ per cell


Computed, not measured: an optimized crystal structure of K2Ag2Br5 at the GGA-PBE level of DFT.

Lattice parameters (Å, degrees): 5.3041 5.3041 10.7647 90.00 90.00 90.00
Positions (direct):
1 Br 0.5000 0.0000 0.2011
2 Br 0.0000 0.5000 0.2011
3 Br 0.5000 0.0000 0.7989
4 Br 0.5000 0.5000 0.5000
5 Br 0.0000 0.5000 0.7989
6 K 0.0000 0.0000 0.0000
7 K 0.0000 0.0000 0.5000
8 Ag 0.5000 0.5000 0.2375
9 Ag 0.5000 0.5000 0.7625

Summary:
Energy relative to the elements, uncorrected ... -0.93 eV/atom
V ... 303 Å³ per cell


Computed, not measured: an optimized crystal structure of ThPa2N at the GGA-PBE level of DFT.

Lattice parameters (Å, degrees): 3.4494 3.4494 8.8360 78.74 78.74 60.00
Positions (direct):
1 Pa 0.7782 0.7782 0.6654
2 Pa 0.2218 0.2218 0.3346
3 Th 0.0000 0.0000 0.0000
4 N 0.5000 0.5000 0.5000

Summary:
Distance to the lowest polymorph of the same formula ... 0.0000 eV/atom
Energy relative to the elements, uncorrected ... -0.63 eV/atom
V ... 89 Å³ per cell


no.,DFT total energy (eV/atom)
1,-6.9414
2,-5.8095
3,-8.1035
4,-4.5142
5,-6.0147
6,-5.5488
7,-5.2828
8,-4.2327
9,-3.9270
10,-7.8835
11,-2.7333
12,-9.3179